(1)
First-principles (meta-GGA SCAN) data for a PBEsol-optimized structure of TlCu2Ir, as listed in the Alexandria database.

The space group is R-3m (No. 166, hexagonal axes) and the conventional cell measures 2.8642, 2.8642 and 25.8694 Å, with angles of 90.00, 90.00 and 120.00 degrees. Symmetry generates all atoms from Tl at (0.0000, 0.0000, 0.0000), Cu at (0.0000, 0.0000, 0.2435) and Ir at (0.0000, 0.0000, 0.5000).

As for the polymorph energy (0 for the lowest one): 103 meV per atom. The total moment comes out at 1.06 μB/cell. For the volume, the calculation gives 184 Å³ per cell. The calculation puts the formation energy at 482 meV per atom. As for the crystal system: trigonal. The value obtained for the total energy is -515.78 eV/cell.


(2)
First-principles (meta-GGA SCAN) data for a PBEsol-optimized structure of Y2TlCuIr, as listed in the Alexandria database.

The space group is P4/mmm (No. 123) and the conventional cell measures 5.247, 5.247 and 5.105 Å, with angles of 90.00, 90.00 and 90.00 degrees. Symmetry generates all atoms from Y at (0.000, 0.500, 0.000), Tl at (0.000, 0.000, 0.500), Cu at (0.500, 0.500, 0.500) and Ir at (0.000, 0.000, 0.000).

The total moment comes out at 0.00 μB/cell. For the volume, the calculation gives 141 Å³ per cell. The calculation puts the formation energy at -48 meV per atom. As for the crystal system: tetragonal. The value obtained for the total energy is -214.58 eV/cell.


(3)
First-principles (meta-GGA SCAN) data for a PBEsol-optimized structure of Cu2IrW, as listed in the Alexandria database.

The space group is I-4m2 (No. 119) and the conventional cell measures 3.765, 3.765 and 7.411 Å, with angles of 90.00, 90.00 and 90.00 degrees. Symmetry generates all atoms from Cu at (0.000, 0.000, 0.000), Cu at (0.000, 0.500, 0.250), Ir at (0.000, 0.000, 0.500) and W at (0.000, 0.500, 0.750).

As for the polymorph energy (0 for the lowest one): 0 meV per atom. The total moment comes out at 0.00 μB/cell. For the volume, the calculation gives 105 Å³ per cell. The calculation puts the formation energy at 53 meV per atom. As for the crystal system: tetragonal. The value obtained for the total energy is -341.95 eV/cell.


(4)
First-principles (meta-GGA SCAN) data for a PBEsol-optimized structure of Cu2Ir2W, as listed in the Alexandria database.

The space group is I4/mmm (No. 139) and the conventional cell measures 3.190, 3.190 and 14.030 Å, with angles of 90.00, 90.00 and 90.00 degrees. Symmetry generates all atoms from Cu at (0.000, 0.500, 0.250), Ir at (0.000, 0.000, 0.100) and W at (0.000, 0.000, 0.500).

The total moment comes out at 0.00 μB/cell. For the volume, the calculation gives 143 Å³ per cell. The calculation puts the formation energy at 300 meV per atom. As for the crystal system: tetragonal. The value obtained for the total energy is -481.57 eV/cell.


(5)
First-principles (meta-GGA SCAN) data for a PBEsol-optimized structure of Cu2IrW, as listed in the Alexandria database.

The space group is Pmm2 (No. 25) and the conventional cell measures 2.710, 3.771 and 5.236 Å, with angles of 90.00, 90.00 and 90.00 degrees. Symmetry generates all atoms from Cu at (0.000, 0.000, 0.000), Cu at (0.500, 0.500, 0.214), Ir at (0.000, 0.000, 0.493) and W at (0.500, 0.500, 0.722).

As for the polymorph energy (0 for the lowest one): 0 meV per atom. The total moment comes out at 0.00 μB/cell. For the volume, the calculation gives 54 Å³ per cell. The calculation puts the formation energy at 53 meV per atom. As for the crystal system: orthorhombic. The value obtained for the total energy is -170.97 eV/cell.


(6)
First-principles (meta-GGA SCAN) data for a PBEsol-optimized structure of Cu2IrW, as listed in the Alexandria database.

The space group is Imm2 (No. 44) and the conventional cell measures 2.959, 4.246 and 8.253 Å, with angles of 90.00, 90.00 and 90.00 degrees. Symmetry generates all atoms from Cu at (0.000, 0.000, 0.000), Cu at (0.000, 0.500, 0.279), Ir at (0.000, 0.500, 0.754) and W at (0.000, 0.000, 0.523).

As for the polymorph energy (0 for the lowest one): 112 meV per atom. The total moment comes out at 0.00 μB/cell. For the volume, the calculation gives 104 Å³ per cell. The calculation puts the formation energy at 165 meV per atom. As for the crystal system: orthorhombic. The value obtained for the total energy is -341.05 eV/cell.


(7)
First-principles (meta-GGA SCAN) data for a PBEsol-optimized structure of Y2CuIr, as listed in the Alexandria database.

The space group is Imm2 (No. 44) and the conventional cell measures 3.479, 4.512 and 10.217 Å, with angles of 90.00, 90.00 and 90.00 degrees. Symmetry generates all atoms from Y at (0.000, 0.000, 0.000), Y at (0.000, 0.500, 0.215), Cu at (0.000, 0.500, 0.787) and Ir at (0.000, 0.000, 0.473).

The total moment comes out at 0.00 μB/cell. For the volume, the calculation gives 160 Å³ per cell. The calculation puts the formation energy at -451 meV per atom. As for the crystal system: orthorhombic. The value obtained for the total energy is -287.57 eV/cell.


(8)
First-principles (meta-GGA SCAN) data for a PBEsol-optimized structure of Y2CuIr, as listed in the Alexandria database.

The space group is Fm-3m (No. 225) and the conventional cell measures 6.794, 6.794 and 6.794 Å, with angles of 90.00, 90.00 and 90.00 degrees. Symmetry generates all atoms from Y at (0.250, 0.250, 0.250), Cu at (0.000, 0.000, 0.000) and Ir at (0.000, 0.000, 0.500).

The total moment comes out at 0.00 μB/cell. For the volume, the calculation gives 314 Å³ per cell. The calculation puts the formation energy at -711 meV per atom. As for the crystal system: cubic. The value obtained for the total energy is -579.31 eV/cell.


(9)
First-principles (meta-GGA SCAN) data for a PBEsol-optimized structure of Y2CuIr, as listed in the Alexandria database.

The space group is Pmm2 (No. 25) and the conventional cell measures 3.917, 3.929 and 5.654 Å, with angles of 90.00, 90.00 and 90.00 degrees. Symmetry generates all atoms from Y at (0.000, 0.000, 0.000), Y at (0.500, 0.500, 0.418), Cu at (0.500, 0.500, 0.902) and Ir at (0.000, 0.000, 0.494).

The total moment comes out at 0.00 μB/cell. For the volume, the calculation gives 87 Å³ per cell. The calculation puts the formation energy at -382 meV per atom. As for the crystal system: orthorhombic. The value obtained for the total energy is -143.51 eV/cell.


(10)
First-principles (meta-GGA SCAN) data for a PBEsol-optimized structure of YCuIr, as listed in the Alexandria database.

The space group is Imm2 (No. 44) and the conventional cell measures 3.134, 3.655 and 8.953 Å, with angles of 90.00, 90.00 and 90.00 degrees. Symmetry generates all atoms from Y at (0.000, 0.000, 0.000), Cu at (0.000, 0.000, 0.694) and Ir at (0.000, 0.000, 0.321).

The total moment comes out at 0.00 μB/cell. For the volume, the calculation gives 103 Å³ per cell. The calculation puts the formation energy at -355 meV per atom. As for the crystal system: orthorhombic. The value obtained for the total energy is -230.41 eV/cell.


(11)
First-principles (meta-GGA SCAN) data for a PBEsol-optimized structure of Zn2CuIr, as listed in the Alexandria database.

The space group is P4/mmm (No. 123) and the conventional cell measures 3.802, 3.802 and 3.572 Å, with angles of 90.00, 90.00 and 90.00 degrees. Symmetry generates all atoms from Zn at (0.000, 0.500, 0.000), Cu at (0.000, 0.000, 0.500) and Ir at (0.500, 0.500, 0.500).

The total moment comes out at 0.00 μB/cell. For the volume, the calculation gives 52 Å³ per cell. The calculation puts the formation energy at -211 meV per atom. As for the crystal system: tetragonal. The value obtained for the total energy is -114.17 eV/cell.


(12)
First-principles (meta-GGA SCAN) data for a PBEsol-optimized structure of Zn2CuIr, as listed in the Alexandria database.

The space group is Cmmm (No. 65) and the conventional cell measures 5.462, 6.523 and 2.923 Å, with angles of 90.00, 90.00 and 90.00 degrees. Symmetry generates all atoms from Zn at (0.250, 0.250, 0.000), Cu at (0.000, 0.000, 0.500) and Ir at (0.000, 0.500, 0.500).

The total moment comes out at 0.00 μB/cell. For the volume, the calculation gives 104 Å³ per cell. The calculation puts the formation energy at -214 meV per atom. As for the crystal system: orthorhombic. The value obtained for the total energy is -228.37 eV/cell.


> What is the volume in the second record?

141 Å³ per cell


> The lowest volume belongs to which entry?

number 11


What did the eleventh record say?
First-principles (meta-GGA SCAN) data for a PBEsol-optimized structure of Zn2CuIr, as listed in the Alexandria database.

The space group is P4/mmm (No. 123) and the conventional cell measures 3.802, 3.802 and 3.572 Å, with angles of 90.00, 90.00 and 90.00 degrees. Symmetry generates all atoms from Zn at (0.000, 0.500, 0.000), Cu at (0.000, 0.000, 0.500) and Ir at (0.500, 0.500, 0.500).

The total moment comes out at 0.00 μB/cell. For the volume, the calculation gives 52 Å³ per cell. The calculation puts the formation energy at -211 meV per atom. As for the crystal system: tetragonal. The value obtained for the total energy is -114.17 eV/cell.


> Among the records above, which one has the lowest volume?

number 11